1.
Compound: Sr2PrAg
Source: the Alexandria database
Functional: GGA-PBE
Structure: relaxed

Lattice parameters (Å, degrees): 11.319 11.319 11.319 20.56 20.56 20.56
Fractional positions:
Sr 0.000 0.000 0.000
Sr 0.196 0.196 0.196
Pr 0.432 0.432 0.432
Ag 0.598 0.598 0.598

Output
ΔE to the lowest computed polymorph in kJ/mol of formula units: 26
E_tot in eV/atom: -2.712
Energy of formation in eV/atom: 0.037
SG: R3m

2.
Compound: SrPrAg2
Source: the Alexandria database
Functional: GGA-PBE
Structure: relaxed

Lattice parameters (Å, degrees): 8.451 8.451 8.451 29.54 29.54 29.54
Fractional positions:
Sr 0.000 0.000 0.000
Pr 0.830 0.830 0.830
Ag 0.243 0.243 0.243
Ag 0.420 0.420 0.420

Output
ΔE to the lowest computed polymorph in kJ/mol of formula units: 67
E_tot in eV/atom: -3.131
Energy of formation in eV/atom: -0.090
SG: R3m

3.
Compound: SrPr5Ag6
Source: the Alexandria database
Functional: GGA-PBE
Structure: relaxed

Lattice parameters (Å, degrees): 8.536 8.536 7.572 90.00 90.00 143.18
Fractional positions:
Sr 0.000 0.000 0.000
Pr 0.000 0.000 0.500
Pr 0.334 0.666 0.000
Pr 0.334 0.666 0.500
Pr 0.666 0.334 0.000
Pr 0.666 0.334 0.500
Ag 0.172 0.828 0.254
Ag 0.172 0.828 0.746
Ag 0.500 0.500 0.262
Ag 0.500 0.500 0.738
Ag 0.828 0.172 0.254
Ag 0.828 0.172 0.746

Output
E_tot in eV/atom: -3.801
Energy of formation in eV/atom: -0.243
SG: Cmmm

4.
Compound: SrPrAg2
Source: the Alexandria database
Functional: GGA-PBE
Structure: relaxed

Lattice parameters (Å, degrees): 5.422 5.422 5.422 60.00 60.00 60.00
Fractional positions:
Sr 0.000 0.000 0.000
Pr 0.500 0.500 0.500
Ag 0.250 0.250 0.250
Ag 0.750 0.750 0.750

Output
ΔE to the lowest computed polymorph in kJ/mol of formula units: 9
E_tot in eV/atom: -3.283
Energy of formation in eV/atom: -0.242
SG: Fm-3m

5.
Compound: Sr2PrAg
Source: the Alexandria database
Functional: GGA-PBE
Structure: relaxed

Lattice parameters (Å, degrees): 12.284 12.284 12.284 18.35 18.35 18.35
Fractional positions:
Sr 0.103 0.103 0.103
Sr 0.897 0.897 0.897
Pr 0.000 0.000 0.000
Ag 0.500 0.500 0.500

Output
ΔE to the lowest computed polymorph in kJ/mol of formula units: 86
E_tot in eV/atom: -2.557
Energy of formation in eV/atom: 0.192
SG: R-3m

6.
Compound: SrPrAg10
Source: the Alexandria database
Functional: GGA-PBE
Structure: relaxed

Lattice parameters (Å, degrees): 4.722 5.663 9.855 90.00 90.00 90.00
Fractional positions:
Sr 0.000 0.000 0.000
Pr 0.000 0.500 0.500
Ag 0.000 0.000 0.338
Ag 0.000 0.000 0.662
Ag 0.000 0.500 0.171
Ag 0.000 0.500 0.829
Ag 0.500 0.000 0.500
Ag 0.500 0.253 0.254
Ag 0.500 0.253 0.746
Ag 0.500 0.500 0.000
Ag 0.500 0.747 0.254
Ag 0.500 0.747 0.746

Output
E_tot in eV/atom: -3.059
Energy of formation in eV/atom: -0.145
SG: Pmmm

7.
Compound: SrPr4Ag5
Source: the Alexandria database
Functional: GGA-PBE
Structure: relaxed

Lattice parameters (Å, degrees): 3.788 3.788 19.323 90.00 90.00 90.00
Fractional positions:
Sr 0.000 0.000 0.000
Pr 0.000 0.000 0.204
Pr 0.000 0.000 0.402
Pr 0.000 0.000 0.598
Pr 0.000 0.000 0.796
Ag 0.500 0.500 0.112
Ag 0.500 0.500 0.302
Ag 0.500 0.500 0.500
Ag 0.500 0.500 0.698
Ag 0.500 0.500 0.888

Output
E_tot in eV/atom: -3.753
Energy of formation in eV/atom: -0.248
SG: P4/mmm

8.
Compound: SrPrAg4
Source: the Alexandria database
Functional: GGA-PBE
Structure: relaxed

Lattice parameters (Å, degrees): 5.886 5.886 5.886 60.00 60.00 60.00
Fractional positions:
Sr 0.000 0.000 0.000
Pr 0.250 0.250 0.250
Ag 0.124 0.625 0.625
Ag 0.625 0.124 0.625
Ag 0.625 0.625 0.124
Ag 0.625 0.625 0.625

Output
ΔE to the lowest computed polymorph in kJ/mol of formula units: 55
E_tot in eV/atom: -3.135
Energy of formation in eV/atom: -0.157
SG: F-43m

9.
Compound: Sr2PrAgTe4
Source: the Alexandria database
Functional: GGA-PBE
Structure: relaxed

Lattice parameters (Å, degrees): 7.995 4.623 8.019 90.00 110.28 90.00
Fractional positions:
Sr 0.000 0.000 0.000
Sr 0.000 0.500 0.500
Pr 0.500 0.000 0.500
Ag 0.500 0.500 0.000
Te 0.260 0.500 0.256
Te 0.274 0.000 0.763
Te 0.726 0.000 0.237
Te 0.740 0.500 0.744

Output
E_tot in eV/atom: -4.208
Energy relative to the elements, uncorrected in eV/atom: -1.2624
SG: P2/m

10.
Compound: SrPrTlAg
Source: the Alexandria database
Functional: GGA-PBE
Structure: relaxed

Lattice parameters (Å, degrees): 5.551 5.551 5.551 60.00 60.00 60.00
Fractional positions:
Sr 0.000 0.000 0.000
Pr 0.500 0.500 0.500
Tl 0.750 0.750 0.750
Ag 0.250 0.250 0.250

Output
ΔE to the lowest computed polymorph in kJ/mol of formula units: 8
E_tot in eV/atom: -3.227
Energy of formation in eV/atom: -0.307
SG: F-43m

11.
Compound: SrPrTlAg
Source: the Alexandria database
Functional: GGA-PBE
Structure: relaxed

Lattice parameters (Å, degrees): 3.878 3.878 8.111 90.00 90.00 90.00
Fractional positions:
Sr 0.000 0.000 0.000
Pr 0.000 0.000 0.523
Tl 0.500 0.500 0.276
Ag 0.500 0.500 0.742

Output
ΔE to the lowest computed polymorph in kJ/mol of formula units: 0
E_tot in eV/atom: -3.247
Energy of formation in eV/atom: -0.327
SG: P4mm

12.
Compound: TbPrAg4
Source: the Alexandria database
Functional: GGA-PBE
Structure: relaxed

Lattice parameters (Å, degrees): 5.768 5.768 5.768 60.00 60.00 60.00
Fractional positions:
Tb 0.000 0.000 0.000
Pr 0.750 0.750 0.750
Ag 0.375 0.375 0.375
Ag 0.375 0.375 0.876
Ag 0.375 0.876 0.375
Ag 0.876 0.375 0.375

Output
ΔE to the lowest computed polymorph in kJ/mol of formula units: 63
E_tot in eV/atom: -3.626
Energy of formation in eV/atom: -0.157
SG: F-43m

13.
Compound: Tb5PrAg6
Source: the Alexandria database
Functional: GGA-PBE
Structure: relaxed

Lattice parameters (Å, degrees): 5.215 7.286 8.251 90.00 108.16 90.00
Fractional positions:
Tb 0.000 0.000 0.000
Tb 0.332 0.500 0.664
Tb 0.334 0.000 0.669
Tb 0.666 0.000 0.331
Tb 0.668 0.500 0.336
Pr 0.000 0.500 0.000
Ag 0.170 0.245 0.341
Ag 0.170 0.755 0.341
Ag 0.500 0.240 0.000
Ag 0.500 0.760 0.000
Ag 0.830 0.245 0.659
Ag 0.830 0.755 0.659

Output
E_tot in eV/atom: -4.054
Energy of formation in eV/atom: -0.301
SG: P2/m

14.
Compound: TbPr4Ag
Source: the Alexandria database
Functional: GGA-PBE
Structure: relaxed

Lattice parameters (Å, degrees): 11.271 11.271 6.611 90.00 90.00 151.76
Fractional positions:
Tb 0.132 0.868 0.500
Tb 0.868 0.132 0.000
Pr 0.065 0.935 0.004
Pr 0.251 0.749 0.098
Pr 0.335 0.665 0.655
Pr 0.473 0.527 0.847
Pr 0.527 0.473 0.347
Pr 0.665 0.335 0.155
Pr 0.749 0.251 0.598
Pr 0.935 0.065 0.504
Ag 0.388 0.612 0.221
Ag 0.612 0.388 0.721

Output
ΔE to the lowest computed polymorph in kJ/mol of formula units: 56
E_tot in eV/atom: -4.399
Energy of formation in eV/atom: 0.034
SG: Cmc2_1

15.
Compound: Tb2PrAg
Source: the Alexandria database
Functional: GGA-PBE
Structure: relaxed

Lattice parameters (Å, degrees): 10.799 10.799 10.799 19.27 19.27 19.27
Fractional positions:
Tb 0.240 0.240 0.240
Tb 0.760 0.760 0.760
Pr 0.000 0.000 0.000
Ag 0.500 0.500 0.500

Output
ΔE to the lowest computed polymorph in kJ/mol of formula units: 45
E_tot in eV/atom: -4.236
Energy of formation in eV/atom: -0.013
SG: R-3m

16.
Compound: TbPr2Ag
Source: the Alexandria database
Functional: GGA-PBE
Structure: relaxed

Lattice parameters (Å, degrees): 3.730 3.730 8.869 90.00 90.00 90.00
Fractional positions:
Tb 0.000 0.000 0.000
Pr 0.500 0.500 0.281
Pr 0.500 0.500 0.719
Ag 0.000 0.000 0.500

Output
ΔE to the lowest computed polymorph in kJ/mol of formula units: 9
E_tot in eV/atom: -4.353
Energy of formation in eV/atom: -0.092
SG: P4/mmm

17.
Compound: Tb2PrAg
Source: the Alexandria database
Functional: GGA-PBE
Structure: relaxed

Lattice parameters (Å, degrees): 3.658 3.658 8.779 90.00 90.00 90.00
Fractional positions:
Tb 0.000 0.000 0.207
Tb 0.000 0.000 0.793
Pr 0.500 0.500 0.500
Ag 0.500 0.500 0.000

Output
ΔE to the lowest computed polymorph in kJ/mol of formula units: 0
E_tot in eV/atom: -4.353
Energy of formation in eV/atom: -0.130
SG: P4/mmm

18.
Compound: TbPr2Ag
Source: the Alexandria database
Functional: GGA-PBE
Structure: relaxed

Lattice parameters (Å, degrees): 9.561 9.561 9.561 148.08 148.08 45.76
Fractional positions:
Tb 0.150 0.150 0.000
Tb 0.850 0.850 0.000
Pr 0.000 0.500 0.500
Pr 0.360 0.360 0.000
Pr 0.500 0.000 0.500
Pr 0.640 0.640 0.000
Ag 0.250 0.750 0.500
Ag 0.750 0.250 0.500

Output
ΔE to the lowest computed polymorph in kJ/mol of formula units: 0
E_tot in eV/atom: -4.376
Energy of formation in eV/atom: -0.116
SG: I4/mmm

19.
Compound: Tb2PrAg6
Source: the Alexandria database
Functional: GGA-PBE
Structure: relaxed

Lattice parameters (Å, degrees): 8.297 8.297 3.491 90.00 90.00 120.00
Fractional positions:
Tb 0.333 0.667 0.000
Tb 0.667 0.333 0.000
Pr 0.000 0.000 0.000
Ag 0.000 0.336 0.500
Ag 0.000 0.664 0.500
Ag 0.336 0.000 0.500
Ag 0.336 0.336 0.500
Ag 0.664 0.000 0.500
Ag 0.664 0.664 0.500

Output
E_tot in eV/atom: -3.712
Energy of formation in eV/atom: -0.251
SG: P6/mmm

20.
Compound: TbPr6Ag2
Source: the Alexandria database
Functional: GGA-PBE
Structure: relaxed

Lattice parameters (Å, degrees): 6.744 6.744 12.242 107.53 107.53 32.54
Fractional positions:
Tb 0.000 0.000 0.000
Pr 0.026 0.026 0.333
Pr 0.311 0.311 0.408
Pr 0.314 0.314 0.123
Pr 0.686 0.686 0.877
Pr 0.689 0.689 0.592
Pr 0.974 0.974 0.667
Ag 0.361 0.361 0.811
Ag 0.639 0.639 0.189

Output
E_tot in eV/atom: -4.437
Energy of formation in eV/atom: -0.103
SG: C2/m

21.
Compound: Tb4Pr3Ag4
Source: the Alexandria database
Functional: GGA-PBE
Structure: relaxed

Lattice parameters (Å, degrees): 9.258 9.258 9.258 148.19 130.74 59.84
Fractional positions:
Tb 0.044 0.825 0.219
Tb 0.394 0.175 0.219
Tb 0.606 0.825 0.781
Tb 0.956 0.175 0.781
Pr 0.000 0.500 0.500
Pr 0.394 0.394 0.000
Pr 0.606 0.606 0.000
Ag 0.201 0.701 0.500
Ag 0.314 0.000 0.314
Ag 0.686 0.000 0.686
Ag 0.799 0.299 0.500

Output
E_tot in eV/atom: -4.144
Energy of formation in eV/atom: -0.120
SG: Immm

22.
Compound: Tb3PrAg
Source: the Alexandria database
Functional: GGA-PBE
Structure: relaxed

Lattice parameters (Å, degrees): 7.177 7.177 7.830 115.18 115.18 71.51
Fractional positions:
Tb 0.056 0.056 0.309
Tb 0.118 0.531 0.304
Tb 0.469 0.882 0.696
Tb 0.531 0.118 0.304
Tb 0.882 0.469 0.696
Tb 0.944 0.944 0.691
Pr 0.416 0.416 0.733
Pr 0.584 0.584 0.267
Ag 0.251 0.251 0.944
Ag 0.749 0.749 0.056

Output
E_tot in eV/atom: -4.248
Energy of formation in eV/atom: 0.056
SG: C2/m

23.
Compound: TbPr4Ag
Source: the Alexandria database
Functional: GGA-PBE
Structure: relaxed

Lattice parameters (Å, degrees): 3.713 3.713 14.218 90.00 90.00 90.00
Fractional positions:
Tb 0.000 0.000 0.000
Pr 0.000 0.000 0.362
Pr 0.000 0.000 0.638
Pr 0.500 0.500 0.176
Pr 0.500 0.500 0.824
Ag 0.500 0.500 0.500

Output
ΔE to the lowest computed polymorph in kJ/mol of formula units: 0
E_tot in eV/atom: -4.496
Energy of formation in eV/atom: -0.062
SG: P4/mmm

24.
Compound: Tb2Pr2Ag3
Source: the Alexandria database
Functional: GGA-PBE
Structure: relaxed

Lattice parameters (Å, degrees): 5.158 5.158 9.048 106.42 106.42 60.11
Fractional positions:
Tb 0.125 0.125 0.373
Tb 0.875 0.875 0.627
Pr 0.373 0.373 0.119
Pr 0.627 0.627 0.881
Ag 0.245 0.245 0.735
Ag 0.500 0.500 0.500
Ag 0.755 0.755 0.265

Output
E_tot in eV/atom: -4.044
Energy of formation in eV/atom: -0.133
SG: C2/m

25.
Compound: TbPr3Ag4
Source: the Alexandria database
Functional: GGA-PBE
Structure: relaxed

Lattice parameters (Å, degrees): 3.733 3.733 15.134 90.00 90.00 90.00
Fractional positions:
Tb 0.000 0.000 0.000
Pr 0.000 0.000 0.246
Pr 0.000 0.000 0.500
Pr 0.000 0.000 0.754
Ag 0.500 0.500 0.113
Ag 0.500 0.500 0.373
Ag 0.500 0.500 0.627
Ag 0.500 0.500 0.887

Output
E_tot in eV/atom: -4.060
Energy of formation in eV/atom: -0.263
SG: P4/mmm

26.
Compound: TbPrAg4
Source: the Alexandria database
Functional: GGA-PBE
Structure: relaxed

Lattice parameters (Å, degrees): 5.456 5.456 5.377 90.05 90.05 120.84
Fractional positions:
Tb 0.000 0.000 0.000
Pr 0.500 0.500 0.500
Ag 0.169 0.831 0.500
Ag 0.324 0.676 0.000
Ag 0.676 0.324 0.000
Ag 0.831 0.169 0.500

Output
ΔE to the lowest computed polymorph in kJ/mol of formula units: 1
E_tot in eV/atom: -3.733
Energy of formation in eV/atom: -0.264
SG: C2/m